The following is a GGA-PBE calculation of an optimized crystal structure of MnAl2V, from the Alexandria database.

As for the total energy: -0.24114 Ha/atom. As for the magnetic moment: 17.9 μB per cell. The formation energy from the elements comes out at -118 meV/atom. For the density of states at the Fermi level, the calculation gives 12.91 states/eV per cell.

It has space group Fm-3m (No. 225), with a = 6.081 Å, b = 6.081 Å, c = 6.081 Å, α = 90.00°, β = 90.00° and γ = 90.00°. The asymmetric unit holds Mn at (0.000, 0.000, 0.000), Al at (0.250, 0.250, 0.250) and V at (0.000, 0.000, 0.500).